1.
A plane-wave DFT calculation with PBE was carried out for YTiP2Cl after structural relaxation.

Structure (POSCAR):
```
YTiP2Cl
1.0
5.2661 0.0000 0.0000
0.0000 5.2661 0.0000
0.0000 0.0000 4.9968
Y Ti P Cl
1 1 2 1
Cartesian
0.0000 0.0000 0.0000
2.6330 2.6330 2.4984
0.0000 2.6330 0.0000
2.6330 0.0000 0.0000
0.0000 0.0000 2.4984
```

## Properties
Space-group type: No. 123
ΔE to the lowest computed polymorph, eV per atom: 0.995
Formation energy from raw total energies, eV/atom: 0.25

2.
A plane-wave DFT calculation with PBE was carried out for YTiP2Cl after structural relaxation.

Structure (POSCAR):
```
YTiP2Cl
1.0
4.7877 0.0000 0.0000
0.0000 4.7877 0.0000
0.0000 0.0000 4.5953
Y Ti P Cl
1 1 2 1
Cartesian
0.0000 0.0000 0.0000
2.3939 2.3939 2.2976
0.0000 2.3939 2.2976
2.3939 0.0000 2.2976
2.3939 2.3939 0.0000
```

## Properties
Space-group type: No. 123
ΔE to the lowest computed polymorph, eV per atom: 0.000
Formation energy from raw total energies, eV/atom: -0.75

3.
A plane-wave DFT calculation with PBE was carried out for TiZnP2Cl after structural relaxation.

Structure (POSCAR):
```
TiZnP2Cl
1.0
4.5486 0.0000 0.0000
0.0000 4.5486 0.0000
0.0000 0.0000 4.8658
Ti Zn P Cl
1 1 2 1
Cartesian
0.0000 0.0000 0.0000
2.2743 2.2743 2.4329
0.0000 2.2743 2.4329
2.2743 0.0000 2.4329
2.2743 2.2743 0.0000
```

## Properties
Space-group type: No. 123
ΔE to the lowest computed polymorph, eV per atom: 0.564
Formation energy from raw total energies, eV/atom: 0.57

4.
A plane-wave DFT calculation with PBE was carried out for TiZnPCl2 after structural relaxation.

Structure (POSCAR):
```
TiZnPCl2
1.0
4.5868 0.0000 0.0000
0.0000 4.5868 0.0000
0.0000 0.0000 5.1642
Ti Zn P Cl
1 1 1 2
Cartesian
0.0000 0.0000 0.0000
2.2934 2.2934 2.5821
2.2934 2.2934 0.0000
0.0000 2.2934 2.5821
2.2934 0.0000 2.5821
```

## Properties
Space-group type: No. 123
ΔE to the lowest computed polymorph, eV per atom: 0.591
Formation energy from raw total energies, eV/atom: 0.16